Density functional theory data (GGA-PBE) for a relaxed structure of TbTm2Ag3.

Results
- ΔH_f (0 K): -0.334 eV per atom
- N(E_F): 2.6 states/eV/cell

Lattice parameters (Å, degrees): 3.5874 3.5874 10.9454 90.00 90.00 90.00
Closest atoms and distances in Å follow each position.
Fractional positions:
Tb1 0.0000 0.0000 0.0000  8 Ag 3.17
Tm1 0.0000 0.0000 0.3356  8 Ag 3.10-3.11
Tm2 0.0000 0.0000 0.6644  8 Ag 3.10-3.11
Ag1 0.5000 0.5000 0.1733  4 Tm 3.10, 4 Tb 3.17
Ag2 0.5000 0.5000 0.5000  8 Tm 3.11
Ag3 0.5000 0.5000 0.8267  4 Tm 3.10, 4 Tb 3.17


Density functional theory data (GGA-PBE) for a relaxed structure of MgPaNi5As2.

Results
- ΔH_f (0 K): -0.391 eV per atom
- N(E_F): 9.0 states/eV/cell

Lattice parameters (Å, degrees): 3.9189 3.9189 8.5032 90.00 90.00 90.00
Closest atoms and distances in Å follow each position.
Fractional positions:
Mg1 0.0000 0.0000 0.0000  12 Ni 2.59-2.77
Pa1 0.0000 0.0000 0.5000  8 As 3.08, 8 Ni 3.22
Ni1 0.0000 0.5000 0.1991  2 As 2.31
Ni2 0.0000 0.5000 0.8009  2 As 2.31
Ni3 0.5000 0.0000 0.1991  2 As 2.31
Ni4 0.5000 0.0000 0.8009  2 As 2.31
Ni5 0.5000 0.5000 0.0000  8 Ni 2.59, 4 Mg 2.77
As1 0.5000 0.5000 0.3420  4 Ni 2.31
As2 0.5000 0.5000 0.6580  4 Ni 2.31


Density functional theory data (GGA-PBE) for a relaxed structure of Nd3Tm4Cd.

Results
- ΔH_f (0 K): -0.065 eV per atom
- Energy above the lowest structure with this stoichiometry: 0 meV per atom
- N(E_F): 9.5 states/eV/cell

Lattice parameters (Å, degrees): 3.5926 3.5926 19.0840 90.00 90.00 90.00
Closest atoms and distances in Å follow each position.
Fractional positions:
Nd1 0.0000 0.0000 0.0000  8 Tm 3.58, 4 Nd 3.59
Nd2 0.0000 0.0000 0.2640  8 Tm 3.57-3.58, 4 Nd 3.59
Nd3 0.0000 0.0000 0.7360  8 Tm 3.57-3.58, 4 Nd 3.59
Tm1 0.5000 0.5000 0.1319  8 Nd 3.58, 4 Tm 3.59
Tm2 0.5000 0.5000 0.3954  4 Cd 3.23, 4 Nd 3.57, 4 Tm 3.59
Tm3 0.5000 0.5000 0.6046  4 Cd 3.23, 4 Nd 3.57, 4 Tm 3.59
Tm4 0.5000 0.5000 0.8681  8 Nd 3.58, 4 Tm 3.59
Cd1 0.0000 0.0000 0.5000  8 Tm 3.23, 4 Cd 3.59


Density functional theory data (GGA-PBE) for a relaxed structure of BeRuSe.

Results
- Energy above the lowest structure with this stoichiometry: 224 meV per atom
- N(E_F): 2.3 states/eV/cell
- Formation energy (no corrections): 0.324 eV per atom

Lattice parameters (Å, degrees): 3.9030 3.9030 3.9030 60.00 60.00 60.00
Closest atoms and distances in Å follow each position.
Fractional positions:
Be1 0.0000 0.0000 0.0000  4 Se 2.39, 4 Ru 2.39
Ru1 0.2500 0.2500 0.2500  4 Be 2.39
Se1 0.7500 0.7500 0.7500  4 Be 2.39


Density functional theory data (GGA-PBE) for a relaxed structure of Pb5I3F12.

Results
- N(E_F): 49.7 states/eV/cell
- Formation energy (no corrections): -1.622 eV per atom

Lattice parameters (Å, degrees): 13.5754 13.5754 13.5754 109.47 109.47 109.47
Closest atoms and distances in Å follow each position.
Fractional positions:
Pb1 0.0000 0.0000 0.0000  6 F 2.40
Pb2 0.0000 0.0000 0.5000  6 F 2.40
Pb3 0.0000 0.5000 0.0000  6 F 2.40
Pb4 0.0000 0.5000 0.5000  6 F 2.40
Pb5 0.1250 0.7500 0.8750  4 F 2.34
Pb6 0.1250 0.8750 0.2500  4 F 2.34
Pb7 0.2500 0.1250 0.8750  4 F 2.34
Pb8 0.2500 0.6250 0.3750  4 F 2.34
Pb9 0.3750 0.2500 0.6250  4 F 2.34
Pb10 0.3750 0.6250 0.7500  4 F 2.34
Pb11 0.5000 0.0000 0.0000  6 F 2.40
Pb12 0.5000 0.0000 0.5000  6 F 2.40
Pb13 0.5000 0.5000 0.0000  6 F 2.40
Pb14 0.5000 0.5000 0.5000  6 F 2.40
Pb15 0.6250 0.3750 0.2500  4 F 2.34
Pb16 0.6250 0.7500 0.3750  4 F 2.34
Pb17 0.7500 0.3750 0.6250  4 F 2.34
Pb18 0.7500 0.8750 0.1250  4 F 2.34
Pb19 0.8750 0.1250 0.7500  4 F 2.34
Pb20 0.8750 0.2500 0.1250  4 F 2.34
I1 0.1250 0.2500 0.3750  8 F 3.15-3.50
I2 0.1250 0.3750 0.7500  8 F 3.15-3.50
I3 0.2500 0.3750 0.1250  8 F 3.15-3.50
I4 0.2500 0.8750 0.6250  8 F 3.15-3.50
I5 0.3750 0.1250 0.2500  8 F 3.15-3.50
I6 0.3750 0.7500 0.1250  8 F 3.15-3.50
I7 0.6250 0.2500 0.8750  8 F 3.15-3.50
I8 0.6250 0.8750 0.7500  8 F 3.15-3.50
I9 0.7500 0.1250 0.3750  8 F 3.15-3.50
I10 0.7500 0.6250 0.8750  8 F 3.15-3.50
I11 0.8750 0.6250 0.2500  8 F 3.15-3.50
I12 0.8750 0.7500 0.6250  8 F 3.15-3.50
F1 0.0014 0.1877 0.0761  2 Pb 2.34-2.40
F2 0.0014 0.3137 0.9253  2 Pb 2.34-2.40
F3 0.0747 0.5761 0.3884  2 Pb 2.34-2.40
F4 0.0747 0.9986 0.6863  2 Pb 2.34-2.40
F5 0.0761 0.0014 0.1877  2 Pb 2.34-2.40
F6 0.0761 0.5747 0.8884  2 Pb 2.34-2.40
F7 0.1116 0.6877 0.6863  2 Pb 2.34-2.40
F8 0.1116 0.9239 0.4253  2 Pb 2.34-2.40
F9 0.1863 0.1877 0.6116  2 Pb 2.34-2.40
F10 0.1863 0.4986 0.5747  2 Pb 2.34-2.40
F11 0.1877 0.0761 0.0014  2 Pb 2.34-2.40
F12 0.1877 0.6116 0.1863  2 Pb 2.34-2.40
F13 0.3123 0.3137 0.8884  2 Pb 2.34-2.40
F14 0.3123 0.4986 0.4239  2 Pb 2.34-2.40
F15 0.3137 0.8884 0.3123  2 Pb 2.34-2.40
F16 0.3137 0.9253 0.0014  2 Pb 2.34-2.40
F17 0.3884 0.0747 0.5761  2 Pb 2.34-2.40
F18 0.3884 0.8137 0.8123  2 Pb 2.34-2.40
F19 0.4239 0.3123 0.4986  2 Pb 2.34-2.40
F20 0.4239 0.6116 0.9253  2 Pb 2.34-2.40
F21 0.4253 0.1116 0.9239  2 Pb 2.34-2.40
F22 0.4253 0.8137 0.5014  2 Pb 2.34-2.40
F23 0.4986 0.4239 0.3123  2 Pb 2.34-2.40
F24 0.4986 0.5747 0.1863  2 Pb 2.34-2.40
F25 0.5014 0.4253 0.8137  2 Pb 2.34-2.40
F26 0.5014 0.5761 0.6877  2 Pb 2.34-2.40
F27 0.5747 0.1863 0.4986  2 Pb 2.34-2.40
F28 0.5747 0.8884 0.0761  2 Pb 2.34-2.40
F29 0.5761 0.3884 0.0747  2 Pb 2.34-2.40
F30 0.5761 0.6877 0.5014  2 Pb 2.34-2.40
F31 0.6116 0.1863 0.1877  2 Pb 2.34-2.40
F32 0.6116 0.9253 0.4239  2 Pb 2.34-2.40
F33 0.6863 0.0747 0.9986  2 Pb 2.34-2.40
F34 0.6863 0.1116 0.6877  2 Pb 2.34-2.40
F35 0.6877 0.5014 0.5761  2 Pb 2.34-2.40
F36 0.6877 0.6863 0.1116  2 Pb 2.34-2.40
F37 0.8123 0.3884 0.8137  2 Pb 2.34-2.40
F38 0.8123 0.9239 0.9986  2 Pb 2.34-2.40
F39 0.8137 0.5014 0.4253  2 Pb 2.34-2.40
F40 0.8137 0.8123 0.3884  2 Pb 2.34-2.40
F41 0.8884 0.0761 0.5747  2 Pb 2.34-2.40
F42 0.8884 0.3123 0.3137  2 Pb 2.34-2.40
F43 0.9239 0.4253 0.1116  2 Pb 2.34-2.40
F44 0.9239 0.9986 0.8123  2 Pb 2.34-2.40
F45 0.9253 0.0014 0.3137  2 Pb 2.34-2.40
F46 0.9253 0.4239 0.6116  2 Pb 2.34-2.40
F47 0.9986 0.6863 0.0747  2 Pb 2.34-2.40
F48 0.9986 0.8123 0.9239  2 Pb 2.34-2.40


Density functional theory data (GGA-PBE) for a relaxed structure of MnAgSe2.

Results
- N(E_F): 1.7 states/eV/cell
- Formation energy (no corrections): -0.271 eV per atom

Lattice parameters (Å, degrees): 3.7537 3.7537 7.1767 90.00 90.00 120.00
Closest atoms and distances in Å follow each position.
Fractional positions:
Mn1 0.0000 0.0000 0.0000  6 Se 2.55-2.63
Ag1 0.3333 0.6667 0.4561  4 Se 2.56-2.80
Se1 0.3333 0.6667 0.8123  3 Mn 2.55, 1 Ag 2.56
Se2 0.6667 0.3333 0.2080  3 Mn 2.63, 3 Ag 2.80